VASP calculation (PBE) on crystalline MgTc2Os at its relaxed geometry. Values from VASP.

Output
calculated density	11.53	g/cm3
crystal system	cubic
ΔH_f (0 K)	0.223	eV per atom

Structure (Quantum ESPRESSO input):
```
&SYSTEM
  ibrav = 0, nat = 4, ntyp = 3
/
ATOMIC_SPECIES
Tc 98.00 Tc.upf
Os 190.23 Os.upf
Mg 24.30 Mg.upf
CELL_PARAMETERS angstrom
4.373 0.000 0.000
2.186 3.787 0.000
2.186 1.262 3.571
ATOMIC_POSITIONS crystal
Tc 0.250 0.250 0.250
Tc 0.000 0.000 0.000
Os 0.750 0.750 0.750
Mg 0.500 0.500 0.500
```